Material: Y2CoCSe
Method: DFT, PBE
State: optimized geometry

Computed properties:
DOS(E_F): 3.9 states/eV/cell

```
data_Y2CoCSe
_symmetry_space_group_name_H-M 'P 4/m m m'
_symmetry_Int_Tables_number 123
_symmetry_space_group_name_Hall '-P 4 2'
_cell_length_a 5.0242
_cell_length_b 5.0242
_cell_length_c 3.6297
_cell_angle_alpha 90.00
_cell_angle_beta 90.00
_cell_angle_gamma 90.00
loop_
_atom_site_label
_atom_site_fract_x
_atom_site_fract_y
_atom_site_fract_z
_atom_site_occupancy
Y1 0.0000 0.5000 0.0000 1
Co1 0.0000 0.0000 0.5000 1
C1 0.0000 0.0000 0.0000 1
Se1 0.5000 0.5000 0.5000 1
```

=====

Material: CoSiC2
Method: DFT, PBE
State: optimized geometry

Computed properties:
DOS(E_F): 9.0 states/eV/cell

```
data_CoSiC2
_symmetry_space_group_name_H-M 'I -4 2 d'
_symmetry_Int_Tables_number 122
_symmetry_space_group_name_Hall 'I -4 2bw'
_cell_length_a 4.4152
_cell_length_b 4.4152
_cell_length_c 8.4529
_cell_angle_alpha 90.00
_cell_angle_beta 90.00
_cell_angle_gamma 90.00
loop_
_atom_site_label
_atom_site_fract_x
_atom_site_fract_y
_atom_site_fract_z
_atom_site_occupancy
Co1 0.0000 0.0000 0.0000 1
Si1 0.0000 0.0000 0.5000 1
C1 0.2495 0.2500 0.1250 1
```

=====

Material: CoSi2C
Method: DFT, PBE
State: optimized geometry

Computed properties:
DOS(E_F): 11.7 states/eV/cell

```
data_CoSi2C
_symmetry_space_group_name_H-M 'I -4 2 d'
_symmetry_Int_Tables_number 122
_symmetry_space_group_name_Hall 'I -4 2bw'
_cell_length_a 5.1288
_cell_length_b 5.1288
_cell_length_c 7.7504
_cell_angle_alpha 90.00
_cell_angle_beta 90.00
_cell_angle_gamma 90.00
loop_
_atom_site_label
_atom_site_fract_x
_atom_site_fract_y
_atom_site_fract_z
_atom_site_occupancy
Co1 0.0000 0.0000 0.0000 1
Si1 0.1941 0.2500 0.6250 1
C1 0.0000 0.0000 0.5000 1
```

=====

Material: CoSi2C2
Method: DFT, PBE
State: optimized geometry

Computed properties:
DOS(E_F): 2.7 states/eV/cell
energy above the most stable polymorph in this dataset: 0.000 eV per formula unit

```
data_CoSi2C2
_symmetry_space_group_name_H-M 'I 4/m m m'
_symmetry_Int_Tables_number 139
_symmetry_space_group_name_Hall '-I 4 2'
_cell_length_a 2.6563
_cell_length_b 2.6563
_cell_length_c 12.7110
_cell_angle_alpha 90.00
_cell_angle_beta 90.00
_cell_angle_gamma 90.00
loop_
_atom_site_label
_atom_site_fract_x
_atom_site_fract_y
_atom_site_fract_z
_atom_site_occupancy
Co1 0.0000 0.0000 0.0000 1
Si1 0.0000 0.0000 0.3774 1
C1 0.0000 0.5000 0.2500 1
```

=====

Material: CoSiC3
Method: DFT, PBE
State: optimized geometry

Computed properties:
DOS(E_F): 4.4 states/eV/cell
energy above the most stable polymorph in this dataset: 0.000 eV per formula unit

```
data_CoSiC3
_symmetry_space_group_name_H-M 'P m -3 m'
_symmetry_Int_Tables_number 221
_symmetry_space_group_name_Hall '-P 4 2 3'
_cell_length_a 3.6915
_cell_length_b 3.6915
_cell_length_c 3.6915
_cell_angle_alpha 90.00
_cell_angle_beta 90.00
_cell_angle_gamma 90.00
loop_
_atom_site_label
_atom_site_fract_x
_atom_site_fract_y
_atom_site_fract_z
_atom_site_occupancy
Co1 0.0000 0.0000 0.0000 1
Si1 0.5000 0.5000 0.5000 1
C1 0.0000 0.5000 0.5000 1
```

=====

Material: CoSi2C2
Method: DFT, PBE
State: optimized geometry

Computed properties:
DOS(E_F): 6.3 states/eV/cell
energy above the most stable polymorph in this dataset: 1.023 eV per formula unit

```
data_CoSi2C2
_symmetry_space_group_name_H-M 'P 4/m b m'
_symmetry_Int_Tables_number 127
_symmetry_space_group_name_Hall '-P 4 2ab'
_cell_length_a 6.1526
_cell_length_b 6.1526
_cell_length_c 2.9625
_cell_angle_alpha 90.00
_cell_angle_beta 90.00
_cell_angle_gamma 90.00
loop_
_atom_site_label
_atom_site_fract_x
_atom_site_fract_y
_atom_site_fract_z
_atom_site_occupancy
Co1 0.0000 0.0000 0.0000 1
Si1 0.1319 0.3681 0.0000 1
C1 0.2461 0.7461 0.5000 1
```

=====

Material: Co3SiC
Method: DFT, PBE
State: optimized geometry

Computed properties:
DOS(E_F): 4.5 states/eV/cell
energy above the most stable polymorph in this dataset: 0.000 eV per formula unit

```
data_Co3SiC
_symmetry_space_group_name_H-M 'P m -3 m'
_symmetry_Int_Tables_number 221
_symmetry_space_group_name_Hall '-P 4 2 3'
_cell_length_a 3.7066
_cell_length_b 3.7066
_cell_length_c 3.7066
_cell_angle_alpha 90.00
_cell_angle_beta 90.00
_cell_angle_gamma 90.00
loop_
_atom_site_label
_atom_site_fract_x
_atom_site_fract_y
_atom_site_fract_z
_atom_site_occupancy
Co1 0.0000 0.0000 0.5000 1
Si1 0.5000 0.5000 0.5000 1
C1 0.0000 0.0000 0.0000 1
```

=====

Material: CoSiC3
Method: DFT, PBE
State: optimized geometry

Computed properties:
DOS(E_F): 5.0 states/eV/cell
energy above the most stable polymorph in this dataset: 0.196 eV per formula unit

```
data_CoSiC3
_symmetry_space_group_name_H-M 'P m -3 m'
_symmetry_Int_Tables_number 221
_symmetry_space_group_name_Hall '-P 4 2 3'
_cell_length_a 3.7528
_cell_length_b 3.7528
_cell_length_c 3.7528
_cell_angle_alpha 90.00
_cell_angle_beta 90.00
_cell_angle_gamma 90.00
loop_
_atom_site_label
_atom_site_fract_x
_atom_site_fract_y
_atom_site_fract_z
_atom_site_occupancy
Co1 0.0000 0.0000 0.0000 1
Si1 0.5000 0.5000 0.5000 1
C1 0.0000 0.0000 0.5000 1
```

=====

Material: TbCoSiC
Method: DFT, PBE
State: optimized geometry

Computed properties:
DOS(E_F): 1.7 states/eV/cell

```
data_TbCoSiC
_symmetry_space_group_name_H-M 'P 4/n m m'
_symmetry_Int_Tables_number 129
_cell_length_a 3.7097
_cell_length_b 3.7097
_cell_length_c 8.4570
_cell_angle_alpha 90.00
_cell_angle_beta 90.00
_cell_angle_gamma 90.00
loop_
_symmetry_equiv_pos_as_xyz
'x,y,z'
'-x,-y,-z'
'-y+1/2,x,z'
'y+1/2,-x,-z'
'-x+1/2,-y+1/2,z'
'x+1/2,y+1/2,-z'
'y,-x+1/2,z'
'-y,x+1/2,-z'
'x+1/2,-y,-z'
'-x+1/2,y,z'
'-y,-x,-z'
'y,x,z'
'-x,y+1/2,-z'
'x,-y+1/2,z'
'y+1/2,x+1/2,-z'
'-y+1/2,-x+1/2,z'
loop_
_atom_site_label
_atom_site_fract_x
_atom_site_fract_y
_atom_site_fract_z
_atom_site_occupancy
Tb1 0.2500 0.2500 0.1492 1
Co1 0.2500 0.7500 0.5000 1
Si1 0.2500 0.2500 0.6509 1
C1 0.2500 0.2500 0.8653 1
```

=====

Material: TbCo2SiC
Method: DFT, PBE
State: optimized geometry

Computed properties:
DOS(E_F): 8.8 states/eV/cell

```
data_TbCo2SiC
_symmetry_space_group_name_H-M 'C m c m'
_symmetry_Int_Tables_number 63
_symmetry_space_group_name_Hall '-C 2c 2'
_cell_length_a 3.7308
_cell_length_b 10.5066
_cell_length_c 6.7322
_cell_angle_alpha 90.00
_cell_angle_beta 90.00
_cell_angle_gamma 90.00
loop_
_atom_site_label
_atom_site_fract_x
_atom_site_fract_y
_atom_site_fract_z
_atom_site_occupancy
Tb1 0.0000 0.0518 0.2500 1
Co1 0.0000 0.3363 0.0566 1
Si1 0.0000 0.2275 0.7500 1
C1 0.0000 0.5000 0.0000 1
```

=====

Material: ThCoSiC
Method: DFT, PBE
State: optimized geometry

Computed properties:
DOS(E_F): 5.5 states/eV/cell

```
data_ThCoSiC
_symmetry_space_group_name_H-M 'P 4/n m m'
_symmetry_Int_Tables_number 129
_cell_length_a 3.8455
_cell_length_b 3.8455
_cell_length_c 8.3091
_cell_angle_alpha 90.00
_cell_angle_beta 90.00
_cell_angle_gamma 90.00
loop_
_symmetry_equiv_pos_as_xyz
'x,y,z'
'-x,-y,-z'
'-y+1/2,x,z'
'y+1/2,-x,-z'
'-x+1/2,-y+1/2,z'
'x+1/2,y+1/2,-z'
'y,-x+1/2,z'
'-y,x+1/2,-z'
'x+1/2,-y,-z'
'-x+1/2,y,z'
'-y,-x,-z'
'y,x,z'
'-x,y+1/2,-z'
'x,-y+1/2,z'
'y+1/2,x+1/2,-z'
'-y+1/2,-x+1/2,z'
loop_
_atom_site_label
_atom_site_fract_x
_atom_site_fract_y
_atom_site_fract_z
_atom_site_occupancy
Th1 0.2500 0.2500 0.1650 1
Co1 0.2500 0.7500 0.5000 1
Si1 0.2500 0.2500 0.6441 1
C1 0.2500 0.2500 0.8690 1
```

=====

Material: ThCo2SiC
Method: DFT, PBE
State: optimized geometry

Computed properties:
DOS(E_F): 13.4 states/eV/cell

```
data_ThCo2SiC
_symmetry_space_group_name_H-M 'C m c m'
_symmetry_Int_Tables_number 63
_symmetry_space_group_name_Hall '-C 2c 2'
_cell_length_a 3.8614
_cell_length_b 10.7882
_cell_length_c 6.7810
_cell_angle_alpha 90.00
_cell_angle_beta 90.00
_cell_angle_gamma 90.00
loop_
_atom_site_label
_atom_site_fract_x
_atom_site_fract_y
_atom_site_fract_z
_atom_site_occupancy
Th1 0.0000 0.0572 0.2500 1
Co1 0.0000 0.3362 0.0556 1
Si1 0.0000 0.2228 0.7500 1
C1 0.0000 0.5000 0.0000 1
```

=====

Number 1: total energy -7.32 eV per atom, size of the total moment 0.0 μB/f.u.. Number 2: total energy -7.26 eV per atom, size of the total moment 0.0 μB/f.u.. Number 3: total energy -6.51 eV per atom, size of the total moment 0.0 μB/f.u.. Number 4: total energy -6.27 eV per atom, size of the total moment 0.0 μB/f.u.. Number 5: total energy -5.86 eV per atom, size of the total moment 0.0 μB/f.u.. Number 6: total energy -6.06 eV per atom, size of the total moment 1.0 μB/f.u.. Number 7: total energy -7.21 eV per atom, size of the total moment 1.1 μB/f.u.. Number 8: total energy -5.82 eV per atom, size of the total moment 0.0 μB/f.u.. Number 9: total energy -7.10 eV per atom, size of the total moment 0.0 μB/f.u.. Number 10: total energy -7.29 eV per atom, size of the total moment 0.0 μB/f.u.. Number 11: total energy -7.90 eV per atom, size of the total moment 0.0 μB/f.u.. Number 12: total energy -7.78 eV per atom, size of the total moment 0.0 μB/f.u..